Compound: CsP3Rh3
Source: Alexandria via LeMat-Bulk
Functional: PBE
Structure: optimized geometry

```
14
Lattice="6.1821 -0.0001 2.4571 2.6027 5.6076 2.4571 -0.1717 -0.1096 9.4376" Properties=species:S:1:pos:R:3 pbc="T T T"
Cs 5.6919 3.6333 12.6962
Cs 2.9212 1.8646 1.6555
P 4.5330 4.3420 9.3055
P 5.0667 0.6028 8.5690
P 1.7246 2.2837 7.6671
P 6.8885 3.2142 6.6847
P 3.5464 4.8951 5.7828
P 4.0801 1.1559 5.0463
Rh 2.5710 2.8504 5.5175
Rh 5.9094 1.1319 6.4084
Rh 5.4092 4.8836 7.1614
Rh 3.2039 0.6143 7.1903
Rh 2.7037 4.3660 7.9433
Rh 6.0421 2.6475 8.8342
```

Magnetization ... 0.000 μB/f.u.
Formation enthalpy at 0 K ... -3.9 eV/f.u.
Calculated volume ... 23.607 A^3/atom